(1)
Entry from the Alexandria database: an optimized crystal structure of MnGaBRuSe (PBE-GGA).

Lattice parameters (Å, degrees): 3.765 4.235 8.757 90.00 90.00 90.00
Space group Imm2 (No. 44)
One atom of each set of equivalent atoms:
Mn 0.000 0.000 0.000 (multiplicity 2)
Ga 0.000 0.500 0.301 (multiplicity 2)
B 0.000 0.500 0.920 (multiplicity 2)
Ru 0.000 0.000 0.528 (multiplicity 2)
Se 0.000 0.500 0.672 (multiplicity 2)

Uncorrected formation energy (eV per atom): 0.08
Total moment (μB/cell): 3.66
E above lowest polymorph (kJ/mol of atoms): 28.68

---

(2)
Entry from the Alexandria database: an optimized crystal structure of TmHf2Sc4 (PBE-GGA).

Lattice parameters (Å, degrees): 4.481 10.262 15.088 90.00 90.00 90.00
Space group Cmcm (No. 63)
One atom of each set of equivalent atoms:
Tm 0.000 0.068 0.250 (multiplicity 4)
Hf 0.000 0.297 0.560 (multiplicity 8)
Sc 0.000 0.000 0.000 (multiplicity 4)
Sc 0.000 0.232 0.750 (multiplicity 4)
Sc 0.000 0.396 0.131 (multiplicity 8)

Total moment (μB/cell): 0.00
E above lowest polymorph (kJ/mol of atoms): 13.59

---

(3)
Entry from the Alexandria database: an optimized crystal structure of Sr2YI7 (PBE-GGA).

Lattice parameters (Å, degrees): 8.309 14.343 15.167 90.00 97.65 90.00
Space group P2_1 (No. 4)
One atom of each set of equivalent atoms:
Sr 0.110 0.000 0.188 (multiplicity 2)
Sr 0.183 0.166 0.683 (multiplicity 2)
Sr 0.256 0.752 0.839 (multiplicity 2)
Sr 0.288 0.425 0.333 (multiplicity 2)
Y 0.386 0.460 0.934 (multiplicity 2)
Y 0.389 0.710 0.446 (multiplicity 2)
I 0.079 0.974 0.783 (multiplicity 2)
I 0.110 0.578 0.466 (multiplicity 2)
I 0.111 0.213 0.275 (multiplicity 2)
I 0.121 0.590 0.985 (multiplicity 2)
I 0.134 0.847 0.360 (multiplicity 2)
I 0.164 0.297 0.874 (multiplicity 2)
I 0.263 0.528 0.746 (multiplicity 2)
I 0.304 0.848 0.068 (multiplicity 2)
I 0.315 0.331 0.553 (multiplicity 2)
I 0.382 0.782 0.635 (multiplicity 2)
I 0.386 0.046 0.521 (multiplicity 2)
I 0.393 0.124 0.072 (multiplicity 2)
I 0.409 0.647 0.254 (multiplicity 2)
I 0.419 0.400 0.129 (multiplicity 2)

Uncorrected formation energy (eV per atom): -1.54
Total moment (μB/cell): 0.00

---

(4)
Entry from the Alexandria database: an optimized crystal structure of KBe2Bi2O6 (PBE-GGA).

Lattice parameters (Å, degrees): 5.881 5.944 6.285 95.99 116.87 112.56
Space group P-1 (No. 2)
One atom of each set of equivalent atoms:
K 0.000 0.000 0.000 (multiplicity 1)
Be 0.263 0.712 0.716 (multiplicity 2)
Bi 0.378 0.305 0.680 (multiplicity 2)
O 0.108 0.876 0.657 (multiplicity 2)
O 0.250 0.532 0.883 (multiplicity 2)
O 0.456 0.689 0.614 (multiplicity 2)

Uncorrected formation energy (eV per atom): -1.61
Total moment (μB/cell): 0.00

---

(5)
Entry from the Alexandria database: an optimized crystal structure of MnCd (PBE-GGA).

Lattice parameters (Å, degrees): 5.287 4.735 5.740 90.00 90.00 90.00
Space group Pnma (No. 62)
One atom of each set of equivalent atoms:
Mn 0.100 0.250 0.129 (multiplicity 4)
Cd 0.106 0.250 0.624 (multiplicity 4)

Final energy (eV per atom): -4.6976
Total moment (μB/cell): 15.01

---

(6)
Entry from the Alexandria database: an optimized crystal structure of Re2HgTe (PBE-GGA).

Lattice parameters (Å, degrees): 4.228 4.228 19.250 90.00 90.00 90.00
Space group I-42d (No. 122)
One atom of each set of equivalent atoms:
Re 0.158 0.250 0.125 (multiplicity 8)
Hg 0.000 0.000 0.500 (multiplicity 4)
Te 0.000 0.000 0.000 (multiplicity 4)

Uncorrected formation energy (eV per atom): 1.13
Total moment (μB/cell): 0.00
E above lowest polymorph (kJ/mol of atoms): 73.60

---

(7)
Entry from the Alexandria database: an optimized crystal structure of NdSm4Ho (PBE-GGA).

Lattice parameters (Å, degrees): 6.885 12.253 9.734 90.00 90.00 90.00
Space group Cmcm (No. 63)
One atom of each set of equivalent atoms:
Nd 0.000 0.177 0.250 (multiplicity 4)
Sm 0.000 0.348 0.572 (multiplicity 8)
Sm 0.241 0.394 0.250 (multiplicity 8)
Ho 0.000 0.000 0.000 (multiplicity 4)

Total moment (μB/cell): 0.00
E above lowest polymorph (kJ/mol of atoms): 21.25

---

(8)
Entry from the Alexandria database: an optimized crystal structure of CeDy12Y6 (PBE-GGA).

Lattice parameters (Å, degrees): 13.2563 13.2563 12.4194 90.00 90.00 120.00
Space group R-3m (No. 166, hexagonal axes)
One atom of each set of equivalent atoms:
Ce 0.0000 0.0000 0.0000 (multiplicity 3)
Dy 0.0000 0.2556 0.5000 (multiplicity 18)
Dy 0.0912 0.1825 0.2598 (multiplicity 18)
Y 0.0390 0.5195 0.6235 (multiplicity 18)

Final energy (eV per atom): -5.0440
Total moment (μB/cell): 5.81

---

(9)
Entry from the Alexandria database: an optimized crystal structure of CaZr3As (PBE-GGA).

Lattice parameters (Å, degrees): 5.023 5.023 5.023 90.00 90.00 90.00
Space group Pm-3m (No. 221)
One atom of each set of equivalent atoms:
Ca 0.000 0.000 0.000 (multiplicity 1)
Zr 0.000 0.000 0.500 (multiplicity 3)
As 0.500 0.500 0.500 (multiplicity 1)

Total moment (μB/cell): 1.42
E above lowest polymorph (kJ/mol of atoms): 158.07

---

(10)
Entry from the Alexandria database: an optimized crystal structure of Tb6As3PS2 (PBE-GGA).

Lattice parameters (Å, degrees): 17.671 4.062 8.098 90.00 103.13 90.00
Space group C2/m (No. 12)
One atom of each set of equivalent atoms:
Tb 0.000 0.000 0.244 (multiplicity 4)
Tb 0.164 0.500 0.082 (multiplicity 4)
Tb 0.166 0.500 0.583 (multiplicity 4)
As 0.000 0.500 0.500 (multiplicity 2)
As 0.168 0.000 0.832 (multiplicity 4)
P 0.000 0.500 0.000 (multiplicity 2)
S 0.168 0.000 0.335 (multiplicity 4)

Uncorrected formation energy (eV per atom): -1.75
Total moment (μB/cell): 0.00

---

(11)
Entry from the Alexandria database: an optimized crystal structure of BaAlInF6 (PBE-GGA).

Lattice parameters (Å, degrees): 5.7207 5.7207 4.8322 90.00 90.00 120.00
Space group P3m1 (No. 156)
One atom of each set of equivalent atoms:
Ba 0.0000 0.0000 0.0000 (multiplicity 1)
Al 0.3333 0.6667 0.3408 (multiplicity 1)
In 0.6667 0.3333 0.5481 (multiplicity 1)
F 0.0287 0.5144 0.1225 (multiplicity 3)
F 0.1768 0.3536 0.5450 (multiplicity 3)

Uncorrected formation energy (eV per atom): -3.25
Total moment (μB/cell): 0.00

---

(12)
Entry from the Alexandria database: an optimized crystal structure of CsPtS2 (PBE-GGA).

Lattice parameters (Å, degrees): 6.254 13.813 7.031 90.00 90.00 90.00
Space group Cmcm (No. 63)
One atom of each set of equivalent atoms:
Cs 0.000 0.164 0.250 (multiplicity 4)
Pt 0.000 0.499 0.250 (multiplicity 4)
S 0.000 0.391 0.501 (multiplicity 8)

Uncorrected formation energy (eV per atom): -0.70
Total moment (μB/cell): 0.00
E above lowest polymorph (kJ/mol of atoms): 0.00

---

(13)
Entry from the Alexandria database: an optimized crystal structure of ReSiHg2As (PBE-GGA).

Lattice parameters (Å, degrees): 5.319 5.319 4.592 90.00 90.00 90.00
Space group P4/mmm (No. 123)
One atom of each set of equivalent atoms:
Re 0.000 0.000 0.000 (multiplicity 1)
Si 0.000 0.000 0.500 (multiplicity 1)
Hg 0.000 0.500 0.000 (multiplicity 2)
As 0.500 0.500 0.500 (multiplicity 1)

Uncorrected formation energy (eV per atom): 1.04
Total moment (μB/cell): 1.44

---

(14)
Entry from the Alexandria database: an optimized crystal structure of Na3ZnSb (PBE-GGA).

Lattice parameters (Å, degrees): 11.220 7.539 7.047 90.00 90.00 90.00
Space group Ima2 (No. 46)
One atom of each set of equivalent atoms:
Na 0.017 0.250 0.000 (multiplicity 8)
Na 0.250 0.067 0.249 (multiplicity 4)
Zn 0.250 0.748 0.498 (multiplicity 4)
Sb 0.250 0.013 0.746 (multiplicity 4)

Uncorrected formation energy (eV per atom): -0.05
Total moment (μB/cell): 0.00
E above lowest polymorph (kJ/mol of atoms): 0.41

---

(15)
Entry from the Alexandria database: an optimized crystal structure of GeRh (PBE-GGA).

Lattice parameters (Å, degrees): 3.012 3.817 5.221 90.00 90.00 90.00
Space group Pmmn (No. 59, origin choice 2)
One atom of each set of equivalent atoms:
Ge 0.250 0.250 0.172 (multiplicity 2)
Rh 0.250 0.250 0.678 (multiplicity 2)

Final energy (eV per atom): -6.3932
Total moment (μB/cell): 0.00

---

(16)
Entry from the Alexandria database: an optimized crystal structure of Rb2CuH2Cl4 (PBE-GGA).

Lattice parameters (Å, degrees): 7.647 7.647 8.525 90.00 90.00 90.00
Space group I4/mmm (No. 139)
One atom of each set of equivalent atoms:
Rb 0.000 0.500 0.250 (multiplicity 4)
Cu 0.000 0.000 0.000 (multiplicity 2)
H 0.000 0.000 0.456 (multiplicity 4)
Cl 0.212 0.212 0.000 (multiplicity 8)

Final energy (eV per atom): -3.2923
Total moment (μB/cell): 2.00

---

(17)
Entry from the Alexandria database: an optimized crystal structure of Te2RuRhN (PBE-GGA).

Lattice parameters (Å, degrees): 5.301 5.301 3.590 90.00 90.00 90.00
Space group P4/mmm (No. 123)
One atom of each set of equivalent atoms:
Te 0.000 0.500 0.000 (multiplicity 2)
Ru 0.000 0.000 0.000 (multiplicity 1)
Rh 0.500 0.500 0.500 (multiplicity 1)
N 0.000 0.000 0.500 (multiplicity 1)

Uncorrected formation energy (eV per atom): 0.51
Total moment (μB/cell): 0.00
E above lowest polymorph (kJ/mol of atoms): 0.00

---

(18)
Entry from the Alexandria database: an optimized crystal structure of Rb3GeF6 (PBE-GGA).

Lattice parameters (Å, degrees): 10.746 12.744 6.651 90.00 90.00 90.00
Space group Cmc2_1 (No. 36)
One atom of each set of equivalent atoms:
Rb 0.000 0.085 0.000 (multiplicity 4)
Rb 0.221 0.375 0.938 (multiplicity 8)
Ge 0.000 0.383 0.418 (multiplicity 4)
F 0.000 0.293 0.193 (multiplicity 4)
F 0.000 0.491 0.645 (multiplicity 4)
F 0.129 0.312 0.533 (multiplicity 8)
F 0.169 0.024 0.730 (multiplicity 8)

Uncorrected formation energy (eV per atom): -2.47
Total moment (μB/cell): 0.00
E above lowest polymorph (kJ/mol of atoms): 5.72

---

(19)
Entry from the Alexandria database: an optimized crystal structure of Tb2PrAg2 (PBE-GGA).

Lattice parameters (Å, degrees): 3.682 5.375 13.761 90.00 97.64 90.00
Space group P2_1/m (No. 11)
One atom of each set of equivalent atoms:
Tb 0.048 0.250 0.095 (multiplicity 2)
Tb 0.235 0.250 0.469 (multiplicity 2)
Pr 0.145 0.750 0.290 (multiplicity 2)
Ag 0.358 0.750 0.715 (multiplicity 2)
Ag 0.456 0.250 0.913 (multiplicity 2)

Total moment (μB/cell): 0.00
E above lowest polymorph (kJ/mol of atoms): 0.00

---

(20)
Entry from the Alexandria database: an optimized crystal structure of PaNiSnOs (PBE-GGA).

Lattice parameters (Å, degrees): 6.682 6.682 6.682 90.00 90.00 90.00
Space group F-43m (No. 216)
One atom of each set of equivalent atoms:
Pa 0.000 0.000 0.000 (multiplicity 4)
Ni 0.250 0.250 0.750 (multiplicity 4)
Sn 0.000 0.000 0.500 (multiplicity 4)
Os 0.250 0.250 0.250 (multiplicity 4)

Final energy (eV per atom): -7.7911
Total moment (μB/cell): 0.00